Record 1
InGaHg | PBE | relaxed

Results
- electronic total energy (eV/atom) = -1.985

abc: 4.6825 5.8220 6.1120
angles: 91.63 108.95 109.95
Atoms (fractional coordinates):
In1 0.0000 0.0000 0.0000
In2 0.4861 0.7028 0.2829
Ga1 0.1598 0.1250 0.5666
Ga2 0.6485 0.2597 0.4065
Hg1 0.2409 0.6728 0.6972
Hg2 0.7386 0.4086 0.9696

***

Record 2
Ac2Sn4Rh3 | PBE | relaxed

Results
- electronic total energy (eV/atom) = -5.773

abc: 8.6330 7.4790 6.0319
angles: 78.63 58.14 43.23
Atoms (fractional coordinates):
Ac1 0.1257 0.1257 0.8743
Ac2 0.8743 0.8743 0.1257
Sn1 0.1782 0.5148 0.4852
Sn2 0.4852 0.8218 0.1782
Sn3 0.5148 0.1782 0.8218
Sn4 0.8218 0.4852 0.5148
Rh1 0.0000 0.0000 0.5000
Rh2 0.5000 0.5000 0.0000
Rh3 0.5000 0.5000 0.5000

***

Record 3
LiSc2PtW | PBE | relaxed

Results
- electronic total energy (eV/atom) = -6.146

abc: 5.0136 5.0136 4.3776
angles: 90.00 90.00 90.00
Atoms (fractional coordinates):
Li1 0.0000 0.0000 0.0000
Sc1 0.0000 0.5000 0.5000
Sc2 0.5000 0.0000 0.5000
Pt1 0.0000 0.0000 0.5000
W1 0.5000 0.5000 0.0000

***

Record 4
RbBiP2O | PBE | relaxed

Results
- energy relative to the elements, uncorrected (meV/atom) = 1368.4

abc: 5.3538 5.3538 4.2974
angles: 90.00 90.00 90.00
Atoms (fractional coordinates):
Rb1 0.0000 0.0000 0.0000
Bi1 0.5000 0.5000 0.5000
P1 0.0000 0.5000 0.0000
P2 0.5000 0.0000 0.0000
O1 0.0000 0.0000 0.5000

***

Record 5
ZnBiWSe2 | PBE | relaxed

Results
- energy relative to the elements, uncorrected (meV/atom) = 1141.2

abc: 4.9078 4.9078 4.9846
angles: 90.00 90.00 90.00
Atoms (fractional coordinates):
Zn1 0.0000 0.0000 0.0000
Bi1 0.5000 0.5000 0.5000
W1 0.0000 0.0000 0.5000
Se1 0.0000 0.5000 0.0000
Se2 0.5000 0.0000 0.0000

***

Record 6
Cr2InSb | PBE | relaxed

Results
- energy relative to the elements, uncorrected (meV/atom) = 457.5

abc: 8.7515 3.4044 5.5912
angles: 90.00 103.16 90.00
Atoms (fractional coordinates):
Cr1 0.2466 0.0000 0.2468
Cr2 0.2534 0.5000 0.7532
Cr3 0.7466 0.5000 0.2468
Cr4 0.7534 0.0000 0.7532
In1 0.0000 0.0000 0.5000
In2 0.5000 0.5000 0.5000
Sb1 0.0000 0.5000 0.0000
Sb2 0.5000 0.0000 0.0000

***

Record 7
GaGe | PBE | relaxed

Results
- electronic total energy (eV/atom) = -3.569

abc: 11.2670 11.2670 4.1536
angles: 90.00 90.00 90.00
Atoms (fractional coordinates):
Ga1 0.0842 0.5958 0.0000
Ga2 0.2522 0.3569 0.5000
Ga3 0.3569 0.7478 0.5000
Ga4 0.4042 0.0842 0.0000
Ga5 0.5958 0.9158 0.0000
Ga6 0.6431 0.2522 0.5000
Ga7 0.7478 0.6431 0.5000
Ga8 0.9158 0.4042 0.0000
Ge1 0.1310 0.3537 0.0000
Ge2 0.2081 0.5838 0.5000
Ge3 0.3537 0.8690 0.0000
Ge4 0.4162 0.2081 0.5000
Ge5 0.5838 0.7919 0.5000
Ge6 0.6463 0.1310 0.0000
Ge7 0.7919 0.4162 0.5000
Ge8 0.8690 0.6463 0.0000

***

Record 8
Ca3Au2 | PBE | relaxed

Results
- electronic total energy (eV/atom) = -3.065

abc: 8.4583 6.4921 8.4054
angles: 67.79 45.28 66.93
Atoms (fractional coordinates):
Ca1 0.0000 0.0000 0.0000
Ca2 0.1282 0.6341 0.6649
Ca3 0.2500 0.2500 0.2500
Ca4 0.5851 0.6773 0.1218
Ca5 0.6341 0.1282 0.5727
Ca6 0.6773 0.5851 0.6159
Au1 0.1118 0.7678 0.3005
Au2 0.4302 0.9495 0.4822
Au3 0.7678 0.1118 0.8198
Au4 0.9495 0.4302 0.1382